(1)
First-principles (GGA-PBE) data for crystalline LaSiP at its relaxed geometry, as listed in Alexandria.

a = 5.714 Å, b = 5.714 Å, c = 5.714 Å
α = 145.03°, β = 145.03°, γ = 50.29°
Sites, in units of the cell vectors:
La: 0.000 0.000 0.000
Si: 0.713 0.713 0.000
P: 0.293 0.293 0.000

Raw formation energy in eV/atom: -0.50
Total magnetic moment in μB per atom: 0.00
Total energy in eV/atom: -5.7529
E above lowest polymorph in eV/f.u.: 1.451



(2)
First-principles (GGA-PBE) data for crystalline LaSiP2 at its relaxed geometry, as listed in Alexandria.

a = 4.226 Å, b = 4.073 Å, c = 4.992 Å
α = 90.00°, β = 93.22°, γ = 90.00°
Sites, in units of the cell vectors:
La: 0.000 0.000 0.000
Si: 0.500 0.000 0.500
P: 0.453 0.500 0.782
P: 0.547 0.500 0.218

Raw formation energy in eV/atom: -0.54
Total magnetic moment in μB per atom: 0.00
Total energy in eV/atom: -5.8281



(3)
First-principles (GGA-PBE) data for crystalline LaSiP2 at its relaxed geometry, as listed in Alexandria.

a = 4.463 Å, b = 4.463 Å, c = 3.935 Å
α = 90.00°, β = 90.00°, γ = 90.00°
Sites, in units of the cell vectors:
La: 0.000 0.000 0.000
Si: 0.500 0.500 0.000
P: 0.000 0.500 0.500
P: 0.500 0.000 0.500

Raw formation energy in eV/atom: -0.37
Total magnetic moment in μB per atom: 0.00
Total energy in eV/atom: -5.6615



(4)
First-principles (GGA-PBE) data for crystalline La2Si2P at its relaxed geometry, as listed in Alexandria.

a = 5.542 Å, b = 5.542 Å, c = 5.542 Å
α = 116.21°, β = 116.21°, γ = 96.69°
Sites, in units of the cell vectors:
La: 0.250 0.750 0.500
La: 0.750 0.250 0.500
Si: 0.164 0.164 0.000
Si: 0.836 0.836 0.000
P: 0.500 0.500 0.000

Raw formation energy in eV/atom: -0.31
Total magnetic moment in μB per atom: 0.01
Total energy in eV/atom: -5.5315
E above lowest polymorph in eV/f.u.: 2.085



Density of states at the Fermi level, respectively: 0.851; 0.383; 0.581; 1.280 states/eV/atom.